[1]
VASP calculation (PBE-GGA) on a relaxed GaSi2Mo2 crystal.

distance to the lowest polymorph of the same formula: 64 meV/atom
SG: I4/mmm (139)
raw formation energy: -0.129 eV/atom

```
GaSi2Mo2
1.0
3.4055 0.0000 0.0000
0.0000 3.4055 0.0000
0.0000 0.0000 13.2466
Ga Si Mo
2 4 4
direct
0.0000 0.0000 0.0000 Ga
0.5000 0.5000 0.5000 Ga
0.0000 0.5000 0.2500 Si
0.0000 0.5000 0.7500 Si
0.5000 0.0000 0.2500 Si
0.5000 0.0000 0.7500 Si
0.0000 0.0000 0.3940 Mo
0.0000 0.0000 0.6060 Mo
0.5000 0.5000 0.1060 Mo
0.5000 0.5000 0.8940 Mo
```

[2]
VASP calculation (PBE-GGA) on a relaxed Ga2Si2Mo crystal.

SG: P4/mbm (127)
raw formation energy: 0.131 eV/atom

```
Ga2Si2Mo
1.0
6.5274 0.0000 0.0000
0.0000 6.5274 0.0000
0.0000 0.0000 3.6544
Ga Si Mo
4 4 2
direct
0.1775 0.3225 0.0000 Ga
0.3225 0.8225 0.0000 Ga
0.6775 0.1775 0.0000 Ga
0.8225 0.6775 0.0000 Ga
0.1300 0.6300 0.5000 Si
0.3700 0.1300 0.5000 Si
0.6300 0.8700 0.5000 Si
0.8700 0.3700 0.5000 Si
0.0000 0.0000 0.5000 Mo
0.5000 0.5000 0.5000 Mo
```

[3]
VASP calculation (PBE-GGA) on a relaxed GaSi2Mo2 crystal.

distance to the lowest polymorph of the same formula: 80 meV/atom
SG: P4/mbm (127)
raw formation energy: -0.113 eV/atom

```
GaSi2Mo2
1.0
6.6186 0.0000 0.0000
0.0000 6.6186 0.0000
0.0000 0.0000 3.3313
Ga Si Mo
2 4 4
direct
0.0000 0.0000 0.0000 Ga
0.5000 0.5000 0.0000 Ga
0.1295 0.3705 0.0000 Si
0.3705 0.8705 0.0000 Si
0.6295 0.1295 0.0000 Si
0.8705 0.6295 0.0000 Si
0.1660 0.6660 0.5000 Mo
0.3340 0.1660 0.5000 Mo
0.6660 0.8340 0.5000 Mo
0.8340 0.3340 0.5000 Mo
```

[4]
VASP calculation (PBE-GGA) on a relaxed GaSi2Mo2 crystal.

distance to the lowest polymorph of the same formula: 0 meV/atom
SG: P4/mbm (127)
raw formation energy: -0.193 eV/atom

```
GaSi2Mo2
1.0
6.7837 0.0000 0.0000
0.0000 6.7837 0.0000
0.0000 0.0000 3.3235
Ga Si Mo
2 4 4
direct
0.0000 0.0000 0.0000 Ga
0.5000 0.5000 0.0000 Ga
0.1395 0.3605 0.5000 Si
0.3605 0.8605 0.5000 Si
0.6395 0.1395 0.5000 Si
0.8605 0.6395 0.5000 Si
0.1536 0.6536 0.0000 Mo
0.3464 0.1536 0.0000 Mo
0.6536 0.8464 0.0000 Mo
0.8464 0.3464 0.0000 Mo
```

[5]
VASP calculation (PBE-GGA) on a relaxed GaSi4Mo2 crystal.

SG: I4/mmm (139)
raw formation energy: 1.032 eV/atom

```
GaSi4Mo2
1.0
4.7557 0.0000 0.0000
0.0000 4.7557 0.0000
0.0000 0.0000 12.1936
Ga Si Mo
2 8 4
direct
0.0000 0.0000 0.0000 Ga
0.5000 0.5000 0.5000 Ga
0.0000 0.0000 0.1982 Si
0.0000 0.0000 0.8018 Si
0.0000 0.5000 0.0000 Si
0.0000 0.5000 0.5000 Si
0.5000 0.0000 0.0000 Si
0.5000 0.0000 0.5000 Si
0.5000 0.5000 0.3018 Si
0.5000 0.5000 0.6982 Si
0.0000 0.0000 0.4013 Mo
0.0000 0.0000 0.5987 Mo
0.5000 0.5000 0.0987 Mo
0.5000 0.5000 0.9013 Mo
```

[6]
VASP calculation (PBE-GGA) on a relaxed GaSiMo3 crystal.

distance to the lowest polymorph of the same formula: 996 meV/atom
SG: Pm-3m (221)
raw formation energy: 0.926 eV/atom

```
GaSiMo3
1.0
4.4957 0.0000 0.0000
0.0000 4.4957 0.0000
0.0000 0.0000 4.4957
Ga Si Mo
1 1 3
direct
0.0000 0.0000 0.0000 Ga
0.5000 0.5000 0.5000 Si
0.0000 0.5000 0.5000 Mo
0.5000 0.0000 0.5000 Mo
0.5000 0.5000 0.0000 Mo
```

[7]
VASP calculation (PBE-GGA) on a relaxed GaSiTc2Mo crystal.

SG: P4/mmm (123)
raw formation energy: 1.093 eV/atom

```
GaSiTc2Mo
1.0
4.4234 0.0000 0.0000
0.0000 4.4234 0.0000
0.0000 0.0000 4.4339
Ga Si Tc Mo
1 1 2 1
direct
0.0000 0.0000 0.0000 Ga
0.0000 0.0000 0.5000 Si
0.0000 0.5000 0.5000 Tc
0.5000 0.0000 0.5000 Tc
0.5000 0.5000 0.0000 Mo
```

[8]
VASP calculation (PBE-GGA) on a relaxed Ga2SiTcMo crystal.

SG: P4/mmm (123)
raw formation energy: 1.187 eV/atom

```
Ga2SiTcMo
1.0
4.5677 0.0000 0.0000
0.0000 4.5677 0.0000
0.0000 0.0000 4.5457
Ga Si Tc Mo
2 1 1 1
direct
0.0000 0.5000 0.0000 Ga
0.5000 0.0000 0.0000 Ga
0.0000 0.0000 0.0000 Si
0.5000 0.5000 0.5000 Tc
0.0000 0.0000 0.5000 Mo
```

| no. | density of states at the Fermi level (states/eV per cell) | final energy (Ha/atom) |
| --- | --- | --- |
| 1 | 8.9 | -0.266 |
| 2 | 2.8 | -0.199 |
| 3 | 6.0 | -0.265 |
| 4 | 7.3 | -0.268 |
| 5 | 13.7 | -0.206 |
| 6 | 7.9 | -0.267 |
| 7 | 6.3 | -0.254 |
| 8 | 4.9 | -0.197 |